First-principles (GGA-PBE) data for a relaxed Y2PaMoC4 crystal, as listed in the Alexandria database.

Lattice parameters (Å, degrees): 3.4639 11.8778 12.3118 90.00 90.00 90.00
Last column: nearest neighbours and their distance in Å.
Space group Cmcm (No. 63)
Inequivalent atoms, fractional coordinates:
Y  0.0000  0.1305  0.0388 [8 per cell]  3 C 2.37-2.45
Pa  0.0000  0.3958  0.2500 [4 per cell]  6 C 2.55-2.69
Mo  0.0000  0.3408  0.7500 [4 per cell]  4 C 1.93-2.14
C  0.0000  0.0531  0.2500 [4 per cell]  2 Mo 2.14
C  0.0000  0.2297  0.6354 [8 per cell]  1 Mo 1.93
C  0.0000  0.5000  0.0000 [4 per cell]  4 Y 2.37



First-principles (GGA-PBE) data for a relaxed MgRh2C4 crystal, as listed in the Alexandria database.

Lattice parameters (Å, degrees): 4.1337 4.1337 11.1958 90.00 90.00 90.00
Last column: nearest neighbours and their distance in Å.
Space group I4/mmm (No. 139)
Inequivalent atoms, fractional coordinates:
Mg  0.0000  0.0000  0.0000 [2 per cell]  4 C 2.07
Rh  0.0000  0.0000  0.3849 [4 per cell]  1 C 1.70
C  0.0000  0.0000  0.2328 [4 per cell]  1 Rh 1.70
C  0.0000  0.5000  0.0000 [4 per cell]  2 Mg 2.07



First-principles (GGA-PBE) data for a relaxed BaAgOs2 crystal, as listed in the Alexandria database.

Calculated values
E above lowest polymorph	0.734	eV per atom

Lattice parameters (Å, degrees): 2.8311 4.5766 6.8073 90.00 90.00 90.00
Last column: nearest neighbours and their distance in Å.
Space group Pmmm (No. 47)
Inequivalent atoms, fractional coordinates:
Ba  0.0000  0.0000  0.0000 [1 per cell]  2 Ba 2.83
Ag  0.0000  0.0000  0.5000 [1 per cell]  2 Ag 2.83, 8 Os 2.93
Os  0.5000  0.5000  0.3279 [2 per cell]  1 Os 2.34



First-principles (GGA-PBE) data for a relaxed CeDyCu2 crystal, as listed in the Alexandria database.

Calculated values
E above lowest polymorph	0.000	eV per atom

Lattice parameters (Å, degrees): 4.0388 3.9807 10.7393 90.00 100.83 90.00
Last column: nearest neighbours and their distance in Å.
Space group P2_1/m (No. 11)
Inequivalent atoms, fractional coordinates:
Ce  0.0472  0.2500  0.0920 [2 per cell]  2 Ce 2.78, 6 Cu 2.92-3.09
Dy  0.3060  0.7500  0.6134 [2 per cell]  7 Cu 2.93-3.14
Cu  0.1593  0.7500  0.3158 [2 per cell]  2 Cu 2.60-2.61
Cu  0.4192  0.2500  0.8399 [2 per cell]  2 Cu 2.60-2.61



| no. | formation energy from the elements (eV/f.u.) | total DFT energy (no corrections) (eV per cell) |
| --- | --- | --- |
| 1 | -0.3 | -281.71 |
| 2 | 14.2 | -78.01 |
| 3 | 4.4 | -22.88 |
| 4 | -0.5 | -38.52 |